Record 1
# Rb2Ag17 GGA-PBE optimized geometry
data_Rb2Ag17
_chemical_formula_sum 'Rb2 Ag17'
_space_group_name_H-M_alt 'P 1'
_space_group_IT_number 1
_space_group_name_Hall 'P 1'
_cell_length_a 7.460
_cell_length_b 7.460
_cell_length_c 7.460
_cell_angle_alpha 83.57
_cell_angle_beta 83.57
_cell_angle_gamma 83.57
loop_
_atom_site_label
_atom_site_fract_x
_atom_site_fract_y
_atom_site_fract_z
Rb1 0.153 0.153 0.153
Rb2 0.847 0.847 0.847
Ag1 0.000 0.500 0.500
Ag2 0.158 0.158 0.647
Ag3 0.158 0.647 0.158
Ag4 0.207 0.500 0.793
Ag5 0.207 0.793 0.500
Ag6 0.353 0.842 0.842
Ag7 0.402 0.402 0.402
Ag8 0.500 0.000 0.500
Ag9 0.500 0.207 0.793
Ag10 0.500 0.500 0.000
Ag11 0.500 0.793 0.207
Ag12 0.598 0.598 0.598
Ag13 0.647 0.158 0.158
Ag14 0.793 0.207 0.500
Ag15 0.793 0.500 0.207
Ag16 0.842 0.353 0.842
Ag17 0.842 0.842 0.353
# N(E_F) = 0.341 states/eV per atom
# Space group = R-3m (166)


Record 2
# Sr2MgCd6Ga GGA-PBE optimized geometry
data_Sr2MgCd6Ga
_chemical_formula_sum 'Sr4 Mg2 Cd12 Ga2'
_space_group_name_H-M_alt 'P 1'
_space_group_IT_number 1
_space_group_name_Hall 'P 1'
_cell_length_a 7.862
_cell_length_b 9.651
_cell_length_c 7.453
_cell_angle_alpha 90.00
_cell_angle_beta 90.00
_cell_angle_gamma 90.00
loop_
_atom_site_label
_atom_site_fract_x
_atom_site_fract_y
_atom_site_fract_z
Sr1 0.250 0.023 0.215
Sr2 0.250 0.477 0.215
Sr3 0.750 0.523 0.785
Sr4 0.750 0.977 0.785
Mg1 0.250 0.750 0.903
Mg2 0.750 0.250 0.097
Cd1 0.054 0.250 0.876
Cd2 0.074 0.750 0.531
Cd3 0.250 0.004 0.713
Cd4 0.250 0.496 0.713
Cd5 0.426 0.750 0.531
Cd6 0.446 0.250 0.876
Cd7 0.554 0.750 0.124
Cd8 0.574 0.250 0.469
Cd9 0.750 0.504 0.287
Cd10 0.750 0.996 0.287
Cd11 0.926 0.250 0.469
Cd12 0.946 0.750 0.124
Ga1 0.250 0.250 0.526
Ga2 0.750 0.750 0.474
# N(E_F) = 0.571 states/eV per atom
# Space group = Pmmn (59)


Record 3
# Zn6Cu2Rh GGA-PBE optimized geometry
data_Zn6Cu2Rh
_chemical_formula_sum 'Zn6 Cu2 Rh1'
_space_group_name_H-M_alt 'P 1'
_space_group_IT_number 1
_space_group_name_Hall 'P 1'
_cell_length_a 7.114
_cell_length_b 7.114
_cell_length_c 4.174
_cell_angle_alpha 105.07
_cell_angle_beta 105.07
_cell_angle_gamma 47.78
loop_
_atom_site_label
_atom_site_fract_x
_atom_site_fract_y
_atom_site_fract_z
Zn1 0.081 0.586 0.334
Zn2 0.249 0.751 0.000
Zn3 0.414 0.919 0.666
Zn4 0.586 0.081 0.334
Zn5 0.751 0.249 0.000
Zn6 0.919 0.414 0.666
Cu1 0.168 0.168 0.167
Cu2 0.832 0.832 0.833
Rh1 0.500 0.500 0.500
# N(E_F) = 0.460 states/eV per atom
# Relative energy among the computed polymorphs = 171.8 meV per atom
# Space group = C2/m (12)


no.,formation energy (eV per formula unit)
1,1.2
2,-1.6
3,0.3